1.
DFT (GGA-PBE) results for an optimized crystal structure of TbPrEr3Tm.

```
TbPrEr3Tm
1.0
-2.0343 -5.1799 0.1076
9.5063 -0.6671 3.6477
-2.4339 1.0927 6.5808
Tb Pr Tm Er
2 2 2 6
Direct
0.3484 0.6969 0.5478
0.6516 0.3031 0.4522
0.6423 0.2847 0.0303
0.3577 0.7153 0.9697
0.0564 0.1127 0.2902
0.9436 0.8873 0.7098
0.5240 0.0480 0.7275
0.4760 0.9520 0.2725
0.8366 0.6732 0.2745
0.7781 0.5562 0.7618
0.2219 0.4438 0.2382
0.1634 0.3268 0.7255
```

Computed properties:
Energy of formation from the pure elements (eV/atom): 0.2227
Space-group type: C2/m (12)
Energy (eV per atom): -4.3723

---

2.
DFT (GGA-PBE) results for an optimized crystal structure of Tb2PrEr4Tm.

```
Tb2PrEr4Tm
1.0
-1.5627 7.1568 5.9867
-7.3438 2.9978 -5.1559
3.0877 -11.0233 2.5124
Pr Er Tb Tm
2 8 4 2
Direct
0.0000 0.5000 0.0000
0.0000 0.5000 0.5000
0.7465 0.2514 0.4990
0.7514 0.2465 0.9990
0.2493 0.2478 0.4962
0.7478 0.7493 0.9962
0.7507 0.7522 0.5038
0.2535 0.7486 0.5010
0.2486 0.7535 0.0010
0.2522 0.2507 0.0038
0.5000 0.0000 0.5000
0.5000 0.0000 0.0000
0.5000 0.5000 0.0000
0.0000 0.0000 0.5000
0.5000 0.5000 0.5000
0.0000 0.0000 0.0000
```

Computed properties:
Energy of formation from the pure elements (eV/atom): 0.4378
Space-group type: C2/c (15)
Energy (eV per atom): -4.1576

---

3.
DFT (GGA-PBE) results for an optimized crystal structure of TbPr3Er2Tm6.

```
TbPr3Er2Tm6
1.0
-1.5883 4.8909 3.4027
2.8754 -4.7793 2.6292
9.7615 4.8473 -4.2690
Pr Tm Er Tb
3 6 2 1
Direct
0.8332 0.1668 0.5000
0.1668 0.8332 0.5000
0.5000 0.5000 0.5000
0.9180 0.5846 0.7548
0.2515 0.2515 0.7547
0.5846 0.9180 0.7548
0.4154 0.0820 0.2452
0.0820 0.4154 0.2452
0.7485 0.7485 0.2453
0.3333 0.6667 0.0000
0.6667 0.3333 0.0000
0.0000 0.0000 0.0000
```

Computed properties:
Energy of formation from the pure elements (eV/atom): 0.0258
Space-group type: C2/m (12)
Energy (eV per atom): -4.5511

---

4.
DFT (GGA-PBE) results for an optimized crystal structure of TbPr2Er4Tm.

```
TbPr2Er4Tm
1.0
11.9190 -0.3256 -3.0601
0.1873 7.1228 -0.0327
-8.5709 -3.3025 8.1977
Pr Er Tm Tb
4 8 2 2
Direct
0.5000 0.5000 0.0000
0.5000 0.0000 0.0000
0.0000 0.0000 0.5000
0.5000 0.0000 0.5000
0.7492 0.2519 0.5019
0.2508 0.7481 0.4981
0.2507 0.2500 0.4978
0.7493 0.7500 0.5022
0.7513 0.7493 0.9983
0.2475 0.7501 0.0002
0.7525 0.2499 0.9999
0.2487 0.2507 0.0018
0.5000 0.5000 0.5000
0.0000 0.0000 0.0000
0.0000 0.5000 0.5000
0.0000 0.5000 0.0000
```

Computed properties:
Energy of formation from the pure elements (eV/atom): 0.0209
Space-group type: C2/m (12)
Energy (eV per atom): -4.5932

---

5.
DFT (GGA-PBE) results for an optimized crystal structure of TbPr2Er6Tm.

```
TbPr2Er6Tm
1.0
9.1380 -2.1808 -2.2632
0.7673 8.4556 -2.0069
0.7673 -2.3188 8.3754
Er Pr Tb Tm
12 4 2 2
Direct
0.6879 0.0213 0.5756
0.8817 0.2934 0.5050
0.0577 0.1250 0.7419
0.3121 0.9787 0.4244
0.4423 0.2581 0.8750
0.8121 0.4244 0.9787
0.9423 0.8750 0.2581
0.1183 0.7066 0.4950
0.1879 0.5756 0.0213
0.5577 0.7419 0.1250
0.6183 0.4950 0.7066
0.3817 0.5050 0.2934
0.0430 0.2969 0.1937
0.5430 0.1937 0.2969
0.9570 0.7031 0.8063
0.4570 0.8063 0.7031
0.7500 0.0172 0.9828
0.2500 0.9828 0.0172
0.2500 0.4065 0.5935
0.7500 0.5935 0.4065
```

Computed properties:
Energy of formation from the pure elements (eV/atom): 0.1175
Space-group type: C2/c (15)
Energy (eV per atom): -4.4863

---

6.
DFT (GGA-PBE) results for an optimized crystal structure of Tb3PrEr6Tm2.

```
Tb3PrEr6Tm2
1.0
6.1138 0.0023 0.0120
-3.0534 5.2967 0.0120
-1.0370 -1.7956 11.5202
Tb Er Pr Tm
3 6 1 2
Direct
0.5000 0.5000 0.5000
0.8330 0.1670 0.5000
0.1670 0.8330 0.5000
0.2508 0.2508 0.7498
0.7492 0.7492 0.2502
0.0838 0.4180 0.2504
0.5820 0.9162 0.7496
0.4180 0.0838 0.2504
0.9162 0.5820 0.7496
0.0000 0.0000 0.0000
0.3333 0.6667 0.0000
0.6667 0.3333 0.0000
```

Computed properties:
Energy of formation from the pure elements (eV/atom): 0.0204
Space-group type: C2/m (12)
Energy (eV per atom): -4.5621